1.
Below is a geometry-optimized TbCdHg6 structure, with properties calculated at the PBE level.

a b c (Å): 6.3769 6.3769 23.0999
angles (deg): 90.00 90.00 120.00
With the nearest neighbours (Å) after each atom.
Space group R-3m (No. 166, hexagonal axes)
Symmetry-distinct sites (fractional):
Tb 0.0000 0.0000 0.0000  6 Hg 3.03
Cd 0.0000 0.0000 0.5000  12 Hg 3.52
Hg 0.0128 0.5064 0.4351  5 Hg 3.00-3.31, 1 Tb 3.03

## Properties
Excess energy over the best structure of this formula in the dataset ... 0.223 eV/atom
E_form ... 0.0772 eV/atom

---

2.
Below is a geometry-optimized Tb3PrO structure, with properties calculated at the PBE level.

a b c (Å): 4.9979 4.9979 4.9979
angles (deg): 90.00 90.00 90.00
With the nearest neighbours (Å) after each atom.
Space group Pm-3m (No. 221)
Symmetry-distinct sites (fractional):
Tb 0.0000 0.0000 0.5000  2 O 2.50
Pr 0.5000 0.5000 0.5000  12 Tb 3.53
O 0.0000 0.0000 0.0000  6 Tb 2.50

## Properties
Final energy ... -28.99 eV per formula unit

---

3.
Below is a geometry-optimized MgOsSO2 structure, with properties calculated at the PBE level.

a b c (Å): 3.7301 3.7301 5.2520
angles (deg): 90.00 90.00 90.00
With the nearest neighbours (Å) after each atom.
Space group P4/mmm (No. 123)
Symmetry-distinct sites (fractional):
Mg 0.0000 0.0000 0.0000  4 O 1.87
Os 0.5000 0.5000 0.5000  4 S 2.64
S 0.0000 0.0000 0.5000  2 Mg 2.63, 4 Os 2.64
O 0.0000 0.5000 0.0000  2 Mg 1.87

## Properties
Final energy ... -25.56 eV per formula unit

---

4.
Below is a geometry-optimized TmGaPd structure, with properties calculated at the PBE level.

a b c (Å): 4.4466 20.6612 7.5850
angles (deg): 90.00 90.00 90.00
With the nearest neighbours (Å) after each atom.
Space group Imm2 (No. 44)
Symmetry-distinct sites (fractional):
Tm 0.0000 0.0000 0.0000  6 Ga 3.02-3.09, 6 Pd 3.14-3.25
Tm 0.0000 0.1642 0.9168  5 Pd 2.90-3.12, 6 Ga 3.07-3.16
Tm 0.0000 0.3295 0.0150  5 Pd 2.92-3.09, 6 Ga 3.05-3.20
Tm 0.0000 0.5000 0.9235  6 Pd 2.99-3.10, 6 Ga 3.13-3.23
Ga 0.0000 0.1032 0.2946  4 Pd 2.56-2.78
Ga 0.0000 0.2728 0.6369  4 Pd 2.59-2.71
Ga 0.0000 0.4351 0.2966  3 Pd 2.59-2.61, 1 Ga 2.68
Pd 0.0000 0.0745 0.6233  3 Ga 2.56-2.59
Pd 0.0000 0.2377 0.3085  4 Ga 2.59-2.78
Pd 0.0000 0.4038 0.6296  4 Ga 2.56-2.71

## Properties
E_form ... -0.8917 eV/atom

---

5.
Below is a geometry-optimized Nd2Ho2Sn7 structure, with properties calculated at the PBE level.

a b c (Å): 9.5810 11.1757 6.6786
angles (deg): 90.00 90.00 90.00
With the nearest neighbours (Å) after each atom.
Space group Cmmm (No. 65)
Symmetry-distinct sites (fractional):
Nd 0.1881 0.0000 0.0000  6 Sn 3.20-3.32
Ho 0.0000 0.2693 0.5000  7 Sn 3.01-3.20
Sn 0.0000 0.0000 0.5000  2 Ho 3.01
Sn 0.0000 0.5000 0.2163  1 Sn 2.89, 2 Ho 3.20
Sn 0.2500 0.2500 0.2177  1 Sn 2.91, 2 Ho 3.06, 2 Nd 3.20

## Properties
E_form ... -0.1914 eV/atom

---

6.
Below is a geometry-optimized Pm2GePdAu6 structure, with properties calculated at the PBE level.

a b c (Å): 5.4195 6.6017 7.2226
angles (deg): 82.82 68.19 66.63
With the nearest neighbours (Å) after each atom.
Space group P-1 (No. 2)
Symmetry-distinct sites (fractional):
Pm 0.2180 0.2698 0.2872  8 Au 3.11-3.48, 2 Pd 3.34-3.36
Ge 0.0000 0.0000 0.0000  6 Au 2.65-2.66
Pd 0.5000 0.5000 0.5000  6 Au 2.73-2.78
Au 0.2022 0.8021 0.2875  1 Ge 2.66, 3 Au 2.71-2.95, 1 Pd 2.73
Au 0.2590 0.5717 0.9107  1 Ge 2.65, 1 Pd 2.78, 2 Au 2.95-2.96
Au 0.3028 0.1880 0.7104  1 Ge 2.65, 3 Au 2.71-2.96, 1 Pd 2.73

## Properties
E_form ... -0.4339 eV/atom

---

7.
Below is a geometry-optimized Li6ZnGa structure, with properties calculated at the PBE level.

a b c (Å): 4.7156 5.7105 9.8744
angles (deg): 90.00 90.00 90.00
With the nearest neighbours (Å) after each atom.
Space group Amm2 (No. 38)
Symmetry-distinct sites (fractional):
Li 0.0000 0.0000 0.0000  8 Li 2.73-2.97, 2 Ga 2.84, 2 Zn 2.86
Li 0.0000 0.2396 0.7604  8 Li 2.73-2.97, 2 Ga 2.84, 2 Zn 2.85
Li 0.5000 0.0000 0.3431  8 Li 2.79-2.91, 2 Ga 2.86, 2 Zn 2.86
Li 0.5000 0.2448 0.5880  8 Li 2.79-2.91, 2 Ga 2.85, 2 Zn 2.86
Zn 0.0000 0.0000 0.5070  12 Li 2.85-2.86
Ga 0.5000 0.0000 0.8397  12 Li 2.84-2.86

## Properties
E_form ... -0.1443 eV/atom

---

8.
Below is a geometry-optimized CdSnPt2 structure, with properties calculated at the PBE level.

a b c (Å): 4.3082 4.3082 15.2423
angles (deg): 90.00 90.00 120.00
With the nearest neighbours (Å) after each atom.
Space group R3m (No. 160, hexagonal axes)
Symmetry-distinct sites (fractional):
Cd 0.0000 0.0000 0.0000  6 Pt 2.80-2.98, 1 Sn 2.84
Sn 0.0000 0.0000 0.8138  6 Pt 2.67-2.76, 1 Cd 2.84
Pt 0.0000 0.0000 0.2262  3 Sn 2.76, 1 Pt 2.91, 3 Cd 2.98
Pt 0.0000 0.0000 0.4174  3 Sn 2.67, 3 Cd 2.80, 1 Pt 2.91

## Properties
E_form ... -0.2475 eV/atom

---

9.
Below is a geometry-optimized MnCoAg2Br structure, with properties calculated at the PBE level.

a b c (Å): 5.1841 5.1841 4.3163
angles (deg): 90.00 90.00 90.00
With the nearest neighbours (Å) after each atom.
Space group P4/mmm (No. 123)
Symmetry-distinct sites (fractional):
Mn 0.0000 0.0000 0.0000  8 Ag 3.37, 4 Co 3.67
Co 0.5000 0.5000 0.0000  2 Br 2.16
Ag 0.0000 0.5000 0.5000  2 Br 2.59
Br 0.5000 0.5000 0.5000  2 Co 2.16

## Properties
Final energy ... -17.74 eV per formula unit

---

10.
Below is a geometry-optimized LiCa2As structure, with properties calculated at the PBE level.

a b c (Å): 5.7965 5.8038 6.3784
angles (deg): 90.00 90.00 90.00
With the nearest neighbours (Å) after each atom.
Space group Cmm2 (No. 35)
Symmetry-distinct sites (fractional):
Li 0.0000 0.0000 0.0000  1 Ca 2.65
Ca 0.0000 0.0000 0.4151  1 Li 2.65
Ca 0.0000 0.5000 0.7841  2 As 3.02-3.36, 4 Li 3.21
As 0.0000 0.5000 0.2581  6 Ca 3.02-3.36, 4 Li 3.33-3.34

## Properties
E_form ... -0.4568 eV/atom

---

11.
Below is a geometry-optimized La2MgAs structure, with properties calculated at the PBE level.

a b c (Å): 3.9462 3.9585 7.1940
angles (deg): 90.00 90.00 90.00
With the nearest neighbours (Å) after each atom.
Space group Pmmm (No. 47)
Symmetry-distinct sites (fractional):
La 0.0000 0.0000 0.2255  4 As 3.23, 1 La 3.24, 4 Mg 3.42
Mg 0.5000 0.5000 0.5000  8 La 3.42, 2 As 3.60
As 0.5000 0.5000 0.0000  8 La 3.23, 2 Mg 3.60

## Properties
Excess energy over the best structure of this formula in the dataset ... 0.000 eV/atom
E_form ... -0.6990 eV/atom

---

12.
Below is a geometry-optimized Er12Co6Au structure, with properties calculated at the PBE level.

a b c (Å): 9.4878 9.4878 9.4878
angles (deg): 90.00 90.00 90.00
With the nearest neighbours (Å) after each atom.
Space group Im-3 (No. 204)
Symmetry-distinct sites (fractional):
Er 0.0000 0.1937 0.3000  3 Co 2.63-2.86
Co 0.0000 0.3853 0.5000  1 Co 2.18
Au 0.0000 0.0000 0.0000  12 Er 3.39

## Properties
E_form ... -0.2866 eV/atom

---

13.
Below is a geometry-optimized CdAgPbS2 structure, with properties calculated at the PBE level.

a b c (Å): 4.9248 4.9248 5.8676
angles (deg): 90.00 90.00 90.00
With the nearest neighbours (Å) after each atom.
Space group P4/mmm (No. 123)
Symmetry-distinct sites (fractional):
Cd 0.0000 0.0000 0.0000  4 S 2.46
Ag 0.5000 0.5000 0.5000  4 Pb 3.48, 8 S 3.83
Pb 0.0000 0.0000 0.5000  2 Cd 2.93
S 0.0000 0.5000 0.0000  2 Cd 2.46

## Properties
Final energy ... -12.70 eV per formula unit

---

14.
Below is a geometry-optimized Ce2SnAs structure, with properties calculated at the PBE level.

a b c (Å): 4.2940 4.2940 21.9157
angles (deg): 90.00 90.00 120.00
With the nearest neighbours (Å) after each atom.
Space group R-3m (No. 166, hexagonal axes)
Symmetry-distinct sites (fractional):
Ce 0.0000 0.0000 0.2431  3 As 2.99, 3 Sn 3.17
Sn 0.0000 0.0000 0.0000  6 Ce 3.17
As 0.0000 0.0000 0.5000  6 Ce 2.99

## Properties
Excess energy over the best structure of this formula in the dataset ... 0.000 eV/atom
E_form ... -0.9262 eV/atom

---

15.
Below is a geometry-optimized P2PbSe structure, with properties calculated at the PBE level.

a b c (Å): 6.9478 6.9478 6.9478
angles (deg): 90.00 90.00 90.00
With the nearest neighbours (Å) after each atom.
Space group F-43m (No. 216)
Symmetry-distinct sites (fractional):
P 0.0000 0.0000 0.0000  4 Se 3.01, 4 P 3.01
P 0.2500 0.2500 0.2500  4 Pb 3.01, 4 P 3.01
Pb 0.0000 0.0000 0.5000  4 P 3.01, 4 Se 3.01
Se 0.2500 0.2500 0.7500  4 Pb 3.01, 4 P 3.01

## Properties
Excess energy over the best structure of this formula in the dataset ... 0.635 eV/atom

---

16.
Below is a geometry-optimized AcPrDyTh structure, with properties calculated at the PBE level.

a b c (Å): 3.7013 3.7013 10.5296
angles (deg): 90.00 90.00 90.00
With the nearest neighbours (Å) after each atom.
Space group P4mm (No. 99)
Symmetry-distinct sites (fractional):
Ac 0.0000 0.0000 0.0000  4 Ac 3.70, 4 Dy 3.82, 4 Pr 3.94
Pr 0.5000 0.5000 0.7207  4 Th 3.58, 4 Pr 3.70, 4 Ac 3.94
Dy 0.5000 0.5000 0.2647  4 Th 3.52, 4 Dy 3.70, 4 Ac 3.82
Th 0.0000 0.0000 0.4881  4 Dy 3.52, 4 Pr 3.58, 4 Th 3.70

## Properties
Excess energy over the best structure of this formula in the dataset ... 0.000 eV/atom
E_form ... 0.0476 eV/atom

---

17.
Below is a geometry-optimized Sr3RhCl structure, with properties calculated at the PBE level.

a b c (Å): 5.8300 5.8300 5.8300
angles (deg): 90.00 90.00 90.00
With the nearest neighbours (Å) after each atom.
Space group Pm-3m (No. 221)
Symmetry-distinct sites (fractional):
Sr 0.0000 0.0000 0.5000  2 Rh 2.91
Rh 0.0000 0.0000 0.0000  6 Sr 2.91
Cl 0.5000 0.5000 0.5000  12 Sr 4.12

## Properties
Excess energy over the best structure of this formula in the dataset ... 0.000 eV/atom

---

18.
Below is a geometry-optimized KHg2H2 structure, with properties calculated at the PBE level.

a b c (Å): 7.3822 7.3822 3.9378
angles (deg): 90.00 90.00 90.00
With the nearest neighbours (Å) after each atom.
Space group P4/mbm (No. 127)
Symmetry-distinct sites (fractional):
K 0.0000 0.0000 0.0000  4 H 2.81
Hg 0.1482 0.3518 0.5000  2 H 1.97
H 0.1501 0.3499 0.0000  2 Hg 1.97

## Properties
Excess energy over the best structure of this formula in the dataset ... 0.137 eV/atom

---

19.
Below is a geometry-optimized AlTcMo2 structure, with properties calculated at the PBE level.

a b c (Å): 3.1555 3.1555 6.0960
angles (deg): 90.00 90.00 90.00
With the nearest neighbours (Å) after each atom.
Space group P4mm (No. 99)
Symmetry-distinct sites (fractional):
Al 0.0000 0.0000 0.0000  4 Tc 2.68, 5 Mo 2.72-2.99
Tc 0.5000 0.5000 0.7579  4 Al 2.68, 4 Mo 2.70
Mo 0.0000 0.0000 0.5089  4 Tc 2.70, 4 Mo 2.71, 1 Al 2.99
Mo 0.5000 0.5000 0.2556  4 Mo 2.71, 4 Al 2.72, 1 Tc 3.03

## Properties
E_form ... -0.0893 eV/atom

---

20.
Below is a geometry-optimized LaIrCl4 structure, with properties calculated at the PBE level.

a b c (Å): 8.2227 8.2227 8.2227
angles (deg): 90.00 90.00 90.00
With the nearest neighbours (Å) after each atom.
Space group F-43m (No. 216)
Symmetry-distinct sites (fractional):
La 0.0000 0.0000 0.0000  12 Cl 3.41, 4 Ir 3.56
Ir 0.2500 0.2500 0.2500  12 Cl 3.41, 4 La 3.56
Cl 0.1248 0.1248 0.6248  6 Cl 2.90-2.91

## Properties
Final energy ... -20.23 eV per formula unit

---

Number 1: magnetic moment 0.00 μB/atom. Number 2: magnetic moment 0.00 μB/atom. Number 3: magnetic moment 0.94 μB/atom. Number 4: magnetic moment 0.00 μB/atom. Number 5: magnetic moment 0.00 μB/atom. Number 6: magnetic moment 0.00 μB/atom. Number 7: magnetic moment 0.00 μB/atom. Number 8: magnetic moment 0.00 μB/atom. Number 9: magnetic moment 1.07 μB/atom. Number 10: magnetic moment 0.00 μB/atom. Number 11: magnetic moment 0.00 μB/atom. Number 12: magnetic moment 0.00 μB/atom. Number 13: magnetic moment 0.00 μB/atom. Number 14: magnetic moment 0.28 μB/atom. Number 15: magnetic moment 0.00 μB/atom. Number 16: magnetic moment 0.00 μB/atom. Number 17: magnetic moment 0.00 μB/atom. Number 18: magnetic moment 0.00 μB/atom. Number 19: magnetic moment 0.00 μB/atom. Number 20: magnetic moment 0.68 μB/atom.